Here is TbPrDy2Y5 after structural relaxation from the Alexandria database. Energies are from GGA-PBE.

## Properties
Space-group type: I4/mcm
Density, g cm⁻³: 6.05
ΔH_f (0 K), kJ per mole of atoms: 25.8
Calculated volume, Å³/cell: 587

Cell lengths 8.660, 8.660, 9.935 Å; angles 115.84, 115.84, 90.00 degrees
Fractional positions:
Tb (0.250, 0.250, 0.500)
Tb (0.750, 0.750, 0.500)
Dy (0.119, 0.381, 0.000)
Dy (0.381, 0.881, 0.000)
Dy (0.881, 0.619, 0.000)
Dy (0.619, 0.119, 0.000)
Pr (0.750, 0.250, 0.500)
Pr (0.250, 0.750, 0.500)
Y (0.933, 0.433, 0.271)
Y (0.662, 0.162, 0.729)
Y (0.162, 0.067, 0.729)
Y (0.567, 0.662, 0.729)
Y (0.838, 0.933, 0.271)
Y (0.067, 0.567, 0.729)
Y (0.338, 0.838, 0.271)
Y (0.500, 0.500, 0.000)
Y (0.433, 0.338, 0.271)
Y (0.000, 0.000, 0.000)

---

Here is ScTl3Ru after structural relaxation from the Alexandria database. Energies are from GGA-PBE.

## Properties
Space-group type: Pm-3m
Density, g cm⁻³: 7.55
ΔH_f (0 K), kJ per mole of atoms: 124.1
Energy relative to the lowest polymorph listed for this composition, meV per atom: 774.5
Calculated volume, Å³/cell: 167

Cell lengths 5.508, 5.508, 5.508 Å; angles 90.00, 90.00, 90.00 degrees
Fractional positions:
Tl (0.000, 0.500, 0.000)
Tl (0.000, 0.000, 0.500)
Tl (0.500, 0.000, 0.000)
Ru (0.500, 0.500, 0.500)
Sc (0.000, 0.000, 0.000)

---

Here is Pr7Ga2Pb2 after structural relaxation from the Alexandria database. Energies are from GGA-PBE.

## Properties
Space-group type: Cmmm
Density, g cm⁻³: 6.94
ΔH_f (0 K), kJ per mole of atoms: -21.3
Calculated volume, Å³/cell: 368

Cell lengths 7.197, 7.507, 7.197 Å; angles 90.00, 108.63, 90.00 degrees
Fractional positions:
Pr (0.000, 0.721, 0.500)
Pr (0.500, 0.763, 0.500)
Pr (0.000, 0.000, 0.000)
Pr (0.500, 0.279, 0.000)
Pr (0.500, 0.237, 0.500)
Pr (0.000, 0.279, 0.500)
Pr (0.500, 0.721, 0.000)
Ga (0.719, 0.000, 0.281)
Ga (0.281, 0.000, 0.719)
Pb (0.819, 0.500, 0.819)
Pb (0.181, 0.500, 0.181)

---

Here is NdEr2Mg2 after structural relaxation from the Alexandria database. Energies are from GGA-PBE.

## Properties
Space-group type: P2_1/m
Density, g cm⁻³: 6.13
ΔH_f (0 K), kJ per mole of atoms: -5.9
Energy relative to the lowest polymorph listed for this composition, meV per atom: 0.0
Calculated volume, Å³/cell: 286

Cell lengths 3.743, 5.476, 14.067 Å; angles 90.00, 97.66, 90.00 degrees
Fractional positions:
Mg (0.640, 0.750, 0.280)
Mg (0.449, 0.750, 0.898)
Mg (0.360, 0.250, 0.720)
Mg (0.551, 0.250, 0.102)
Nd (0.849, 0.750, 0.698)
Nd (0.151, 0.250, 0.302)
Er (0.763, 0.250, 0.525)
Er (0.044, 0.750, 0.089)
Er (0.956, 0.250, 0.911)
Er (0.237, 0.750, 0.475)

---

Here is La2PrDy12 after structural relaxation from the Alexandria database. Energies are from GGA-PBE.

## Properties
Space-group type: Cmme
Density, g cm⁻³: 7.79
ΔH_f (0 K), kJ per mole of atoms: 15.4
Calculated volume, Å³/cell: 1010

Cell lengths 6.708, 6.708, 25.005 Å; angles 90.00, 90.00, 116.09 degrees
Fractional positions:
Dy (0.250, 0.750, 0.584)
Dy (0.750, 0.750, 0.080)
Dy (0.750, 0.250, 0.127)
Dy (0.750, 0.750, 0.920)
Dy (0.250, 0.250, 0.562)
Dy (0.000, 0.000, 0.200)
Dy (0.250, 0.750, 0.873)
Dy (0.000, 0.000, 0.672)
Dy (0.750, 0.750, 0.438)
Dy (0.750, 0.750, 0.562)
Dy (0.500, 0.500, 0.672)
Dy (0.750, 0.250, 0.584)
Dy (0.250, 0.250, 0.080)
Dy (0.250, 0.250, 0.920)
Dy (0.000, 0.000, 0.800)
Dy (0.000, 0.000, 0.328)
Dy (0.500, 0.500, 0.328)
Dy (0.750, 0.250, 0.416)
Dy (0.750, 0.250, 0.873)
Dy (0.250, 0.750, 0.127)
Dy (0.500, 0.500, 0.200)
Dy (0.250, 0.750, 0.416)
Dy (0.500, 0.500, 0.800)
Dy (0.250, 0.250, 0.438)
La (0.000, 0.500, 0.270)
La (0.000, 0.500, 0.730)
La (0.500, 0.000, 0.270)
La (0.500, 0.000, 0.730)
Pr (0.000, 0.500, 0.000)
Pr (0.500, 0.000, 0.000)

---

Here is ErZnGaPt after structural relaxation from the Alexandria database. Energies are from GGA-PBE.

## Properties
Space-group type: F-43m
Density, g cm⁻³: 11.51
ΔH_f (0 K), kJ per mole of atoms: -65.0
Calculated volume, Å³/cell: 72

Cell lengths 4.664, 4.664, 4.664 Å; angles 60.00, 60.00, 60.00 degrees
Fractional positions:
Pt (0.750, 0.750, 0.750)
Ga (0.500, 0.500, 0.500)
Er (0.000, 0.000, 0.000)
Zn (0.250, 0.250, 0.250)